No. 1
## YErMg2Ga2 (PBE)

Data for YErMg2Ga2 after structural relaxation.

The structure in POSCAR format:
```
YErMg2Ga2
1.0
4.655 0.000 0.000
-2.327 4.031 0.000
0.000 0.000 7.187
Y Er Mg Ga
1 1 2 2
Direct
0.000 0.000 0.000 Y
0.000 0.000 0.500 Er
0.333 0.667 0.272 Mg
0.667 0.333 0.767 Mg
0.333 0.667 0.710 Ga
0.667 0.333 0.216 Ga
```

Properties
The crystal system is trigonal.

No. 2
## ErGaMo (PBE)

Data for ErGaMo after structural relaxation.

The structure in POSCAR format:
```
ErGaMo
1.0
0.000 3.337 3.337
3.337 0.000 3.337
3.337 3.337 0.000
Er Ga Mo
1 1 1
Direct
0.000 0.000 0.000 Er
0.750 0.750 0.750 Ga
0.250 0.250 0.250 Mo
```

Properties
The crystal system is cubic.

No. 3
## ErGaMo (PBE)

Data for ErGaMo after structural relaxation.

The structure in POSCAR format:
```
ErGaMo
1.0
0.000 3.187 3.187
3.187 0.000 3.187
3.187 3.187 0.000
Er Ga Mo
1 1 1
Direct
0.000 0.000 0.000 Er
0.250 0.250 0.250 Ga
0.500 0.500 0.500 Mo
```

Properties
The crystal system is cubic.

No. 4
## ErGaNO (PBE)

Data for ErGaNO after structural relaxation.

The structure in POSCAR format:
```
ErGaNO
1.0
4.191 0.000 0.000
0.000 5.251 0.000
0.000 0.000 4.902
Er Ga N O
2 2 2 2
Direct
0.000 0.227 0.000 Er
0.000 0.773 0.500 Er
0.500 0.265 0.515 Ga
0.500 0.735 0.015 Ga
0.000 0.211 0.487 N
0.000 0.789 0.987 N
0.500 0.364 0.924 O
0.500 0.636 0.424 O
```

Properties
The crystal system is orthorhombic.

No. 5
## ErGaNO (PBE)

Data for ErGaNO after structural relaxation.

The structure in POSCAR format:
```
ErGaNO
1.0
6.363 0.000 0.000
0.000 7.229 0.000
0.000 0.000 4.940
Er Ga N O
4 4 4 4
Direct
0.066 0.150 0.000 Er
0.434 0.150 0.500 Er
0.566 0.850 0.000 Er
0.934 0.850 0.500 Er
0.105 0.647 0.996 Ga
0.395 0.647 0.496 Ga
0.605 0.353 0.996 Ga
0.895 0.353 0.496 Ga
0.085 0.133 0.505 N
0.415 0.133 0.005 N
0.585 0.867 0.505 N
0.915 0.867 0.005 N
0.055 0.564 0.624 O
0.445 0.564 0.124 O
0.555 0.436 0.624 O
0.945 0.436 0.124 O
```

Properties
The crystal system is orthorhombic.

No. 6
## ErGaNO (PBE)

Data for ErGaNO after structural relaxation.

The structure in POSCAR format:
```
ErGaNO
1.0
4.763 0.000 0.000
0.000 4.763 0.000
0.000 0.000 4.553
Er Ga N O
2 2 2 2
Direct
0.250 0.750 0.000 Er
0.750 0.250 0.000 Er
0.250 0.250 0.490 Ga
0.750 0.750 0.510 Ga
0.250 0.250 0.030 N
0.750 0.750 0.970 N
0.250 0.750 0.500 O
0.750 0.250 0.500 O
```

Properties
The crystal system is tetragonal.

No. 7
## ErGaNO (PBE)

Data for ErGaNO after structural relaxation.

The structure in POSCAR format:
```
ErGaNO
1.0
3.867 0.000 0.000
0.000 5.835 0.000
0.000 0.000 5.243
Er Ga N O
2 2 2 2
Direct
0.000 0.201 0.000 Er
0.000 0.799 0.500 Er
0.500 0.312 0.505 Ga
0.500 0.688 0.005 Ga
0.500 0.370 0.876 N
0.500 0.630 0.376 N
0.000 0.171 0.426 O
0.000 0.829 0.926 O
```

Properties
The crystal system is orthorhombic.

No. 8
## ErGaNO (PBE)

Data for ErGaNO after structural relaxation.

The structure in POSCAR format:
```
ErGaNO
1.0
3.840 0.000 0.000
0.000 3.840 0.000
0.000 0.000 7.551
Er Ga N O
2 2 2 2
Direct
0.250 0.250 0.142 Er
0.750 0.750 0.858 Er
0.250 0.750 0.500 Ga
0.750 0.250 0.500 Ga
0.250 0.250 0.635 N
0.750 0.750 0.365 N
0.250 0.750 0.000 O
0.750 0.250 0.000 O
```

Properties
The crystal system is tetragonal.

No. 9
## NaErGaTe3 (PBE)

Data for NaErGaTe3 after structural relaxation.

The structure in POSCAR format:
```
NaErGaTe3
1.0
2.269 -7.352 0.000
2.269 7.352 0.000
0.000 0.000 11.426
Na Er Ga Te
2 2 2 6
Direct
0.234 0.766 0.750 Na
0.766 0.234 0.250 Na
0.000 0.000 0.000 Er
0.000 0.000 0.500 Er
0.479 0.521 0.250 Ga
0.521 0.479 0.750 Ga
0.088 0.912 0.250 Te
0.363 0.637 0.059 Te
0.363 0.637 0.441 Te
0.637 0.363 0.559 Te
0.637 0.363 0.941 Te
0.912 0.088 0.750 Te
```

Properties
The crystal system is orthorhombic.

No. 10
## Er2NbGa2 (PBE)

Data for Er2NbGa2 after structural relaxation.

The structure in POSCAR format:
```
Er2NbGa2
1.0
7.234 0.000 0.000
0.000 7.234 0.000
0.000 0.000 4.177
Er Nb Ga
4 2 4
Direct
0.178 0.322 0.000 Er
0.322 0.822 0.000 Er
0.678 0.178 0.000 Er
0.822 0.678 0.000 Er
0.000 0.000 0.500 Nb
0.500 0.500 0.500 Nb
0.127 0.627 0.500 Ga
0.373 0.127 0.500 Ga
0.627 0.873 0.500 Ga
0.873 0.373 0.500 Ga
```

Properties
The crystal system is tetragonal.

No. 11
## NdErGa2 (PBE)

Data for NdErGa2 after structural relaxation.

The structure in POSCAR format:
```
NdErGa2
1.0
4.098 0.000 0.000
0.000 2.203 5.521
0.000 -2.203 5.521
Nd Er Ga
1 1 2
Direct
0.000 0.000 0.000 Nd
0.500 0.721 0.721 Er
0.000 0.282 0.282 Ga
0.500 0.431 0.431 Ga
```

Properties
The crystal system is orthorhombic.

No. 12
## Nd2ErGa2 (PBE)

Data for Nd2ErGa2 after structural relaxation.

The structure in POSCAR format:
```
Nd2ErGa2
1.0
7.743 0.000 0.000
0.000 7.743 0.000
0.000 0.000 4.499
Nd Er Ga
4 2 4
Direct
0.174 0.326 0.000 Nd
0.326 0.826 0.000 Nd
0.674 0.174 0.000 Nd
0.826 0.674 0.000 Nd
0.000 0.000 0.500 Er
0.500 0.500 0.500 Er
0.120 0.620 0.500 Ga
0.380 0.120 0.500 Ga
0.620 0.880 0.500 Ga
0.880 0.380 0.500 Ga
```

Properties
The crystal system is tetragonal.

Number 1: density 5.470 g cm⁻³, E_tot -3.79 eV per atom. Number 2: density 7.441 g cm⁻³, E_tot -5.10 eV per atom. Number 3: density 8.542 g cm⁻³, E_tot -5.85 eV per atom. Number 4: density 8.219 g cm⁻³, E_tot -6.73 eV per atom. Number 5: density 7.804 g cm⁻³, E_tot -6.62 eV per atom. Number 6: density 8.584 g cm⁻³, E_tot -6.65 eV per atom. Number 7: density 7.495 g cm⁻³, E_tot -6.64 eV per atom. Number 8: density 7.963 g cm⁻³, E_tot -6.55 eV per atom. Number 9: density 5.600 g cm⁻³, E_tot -3.88 eV per atom. Number 10: density 8.612 g cm⁻³, E_tot -5.37 eV per atom. Number 11: density 7.513 g cm⁻³, E_tot -4.45 eV per atom. Number 12: density 7.328 g cm⁻³, E_tot -4.54 eV per atom.